Computed, not measured: an optimized crystal structure of PrTcPbO6 at the PBE-GGA level of DFT.

Computed properties:
Magnetic moment: 0.00 μB/cell
Volume: 16.122 Å³/atom
Formation energy (no corrections): -1.744 eV/atom
Symmetry: No. 149
Total energy: -7.144 eV/atom

a = 5.758 Å, b = 5.758 Å, c = 5.056 Å
α = 90.01°, β = 89.99°, γ = 59.95°
Sites, in units of the cell vectors:
O1 0.605 0.057 0.285
O2 0.339 0.057 0.715
O3 0.604 0.339 0.715
O4 0.339 0.604 0.285
O5 0.057 0.339 0.285
O6 0.057 0.605 0.715
Tc1 0.333 0.333 0.500
Pr1 0.667 0.667 0.500
Pb1 0.000 0.000 0.000

=====

Computed, not measured: an optimized crystal structure of Pr2TcPbO8 at the PBE-GGA level of DFT.

Computed properties:
Magnetic moment: 0.87 μB/cell
Volume: 14.958 Å³/atom
Formation energy (no corrections): -1.978 eV/atom
Symmetry: No. 2
Total energy: -7.253 eV/atom

a = 5.029 Å, b = 5.006 Å, c = 7.139 Å
α = 89.04°, β = 89.07°, γ = 92.51°
Sites, in units of the cell vectors:
Pr1 0.451 0.449 0.758
Pr2 0.549 0.551 0.242
O1 0.301 0.303 0.472
O2 0.699 0.697 0.528
O3 0.785 0.141 0.207
O4 0.143 0.788 0.208
O5 0.737 0.733 0.959
O6 0.263 0.267 0.041
O7 0.215 0.859 0.793
O8 0.857 0.212 0.792
Pb1 0.000 0.000 0.500
Tc1 0.000 0.000 0.000

=====

Computed, not measured: an optimized crystal structure of PrTc2PbO8 at the PBE-GGA level of DFT.

Computed properties:
Magnetic moment: 3.01 μB/cell
Volume: 19.236 Å³/atom
Formation energy (no corrections): -1.660 eV/atom
Symmetry: No. 164
Total energy: -7.400 eV/atom

a = 6.050 Å, b = 6.050 Å, c = 7.283 Å
α = 90.00°, β = 90.00°, γ = 120.00°
Sites, in units of the cell vectors:
O1 0.334 0.167 0.278
O2 0.834 0.666 0.278
O3 0.166 0.334 0.722
O4 0.667 0.333 0.959
O5 0.833 0.166 0.278
O6 0.666 0.833 0.722
O7 0.333 0.667 0.041
O8 0.167 0.834 0.722
Pb1 0.000 0.000 0.000
Tc1 0.667 0.333 0.200
Tc2 0.333 0.667 0.800
Pr1 0.000 0.000 0.500